(1)
Material: Er3Mg3AlHg2
Method: DFT, PBE-GGA
State: optimized geometry

Output
- energy (eV/cell) = -25.76

Structure (CIF):
```
data_Er3Mg3AlHg2
_space_group_name_H-M_alt 'P -6 2 m'
_space_group_IT_number 189
_space_group_name_Hall 'P -6 -2'
_cell_length_a 7.7350
_cell_length_b 7.7350
_cell_length_c 4.1448
_cell_angle_alpha 90.00
_cell_angle_beta 90.00
_cell_angle_gamma 120.00
loop_
_atom_site_label
_atom_site_fract_x
_atom_site_fract_y
_atom_site_fract_z
Er1 0.0000 0.5903 0.0000
Mg1 0.0000 0.2470 0.5000
Al1 0.0000 0.0000 0.0000
Hg1 0.3333 0.6667 0.5000
```



(2)
Material: Er3Mg3Al2Hg
Method: DFT, PBE-GGA
State: optimized geometry

Output
- energy (eV/cell) = -29.29

Structure (CIF):
```
data_Er3Mg3Al2Hg
_space_group_name_H-M_alt 'P -6 2 m'
_space_group_IT_number 189
_space_group_name_Hall 'P -6 -2'
_cell_length_a 7.4003
_cell_length_b 7.4003
_cell_length_c 4.4358
_cell_angle_alpha 90.00
_cell_angle_beta 90.00
_cell_angle_gamma 120.00
loop_
_atom_site_label
_atom_site_fract_x
_atom_site_fract_y
_atom_site_fract_z
Er1 0.0000 0.5741 0.0000
Mg1 0.0000 0.2465 0.5000
Al1 0.3333 0.6667 0.5000
Hg1 0.0000 0.0000 0.0000
```



(3)
Material: YEr2Mg3Al2Hg
Method: DFT, PBE-GGA
State: optimized geometry

Output
- energy (eV/cell) = -62.61

Structure (CIF):
```
data_YEr2Mg3Al2Hg
_space_group_name_H-M_alt 'A m m 2'
_space_group_IT_number 38
_space_group_name_Hall 'A 2 -2'
_cell_length_a 4.503
_cell_length_b 12.816
_cell_length_c 7.362
_cell_angle_alpha 90.00
_cell_angle_beta 90.00
_cell_angle_gamma 90.00
loop_
_atom_site_label
_atom_site_fract_x
_atom_site_fract_y
_atom_site_fract_z
Y1 0.000 0.000 0.000
Er1 0.000 0.213 0.639
Mg1 0.500 0.000 0.672
Mg2 0.500 0.122 0.304
Al1 0.500 0.168 0.926
Hg1 0.000 0.000 0.429
```



(4)
Material: HoEr2Al
Method: DFT, PBE-GGA
State: optimized geometry

Output
- energy relative to the lowest polymorph listed for this composition (eV/f.u.) = 0.11

Structure (CIF):
```
data_HoEr2Al
_space_group_name_H-M_alt 'A m a 2'
_space_group_IT_number 40
_space_group_name_Hall 'A 2 -2a'
_cell_length_a 4.986
_cell_length_b 10.402
_cell_length_c 8.343
_cell_angle_alpha 90.00
_cell_angle_beta 90.00
_cell_angle_gamma 90.00
loop_
_atom_site_label
_atom_site_fract_x
_atom_site_fract_y
_atom_site_fract_z
Ho1 0.250 0.111 0.000
Er1 0.250 0.111 0.410
Er2 0.250 0.382 0.204
Al1 0.250 0.326 0.706
```



(5)
Material: Ho2Er3Al3
Method: DFT, PBE-GGA
State: optimized geometry

Output
- energy relative to the lowest polymorph listed for this composition (eV/f.u.) = 0.00

Structure (CIF):
```
data_Ho2Er3Al3
_space_group_name_H-M_alt 'P 1 m 1'
_space_group_IT_number 6
_space_group_name_Hall 'P -2y'
_cell_length_a 6.462
_cell_length_b 4.924
_cell_length_c 6.465
_cell_angle_alpha 90.00
_cell_angle_beta 102.03
_cell_angle_gamma 90.00
loop_
_atom_site_label
_atom_site_fract_x
_atom_site_fract_y
_atom_site_fract_z
Ho1 0.000 0.000 0.000
Ho2 0.294 0.500 0.791
Er1 0.004 0.000 0.500
Er2 0.510 0.000 0.518
Er3 0.720 0.500 0.217
Al1 0.226 0.500 0.286
Al2 0.502 0.000 0.019
Al3 0.789 0.500 0.719
```



(6)
Material: HoEr2Al
Method: DFT, PBE-GGA
State: optimized geometry

Output
- energy relative to the lowest polymorph listed for this composition (eV/f.u.) = 0.00

Structure (CIF):
```
data_HoEr2Al
_space_group_name_H-M_alt 'C m c m'
_space_group_IT_number 63
_space_group_name_Hall '-C 2c 2'
_cell_length_a 6.758
_cell_length_b 11.753
_cell_length_c 5.270
_cell_angle_alpha 90.00
_cell_angle_beta 90.00
_cell_angle_gamma 90.00
loop_
_atom_site_label
_atom_site_fract_x
_atom_site_fract_y
_atom_site_fract_z
Ho1 0.000 0.175 0.250
Er1 0.239 0.414 0.250
Al1 0.000 0.335 0.750
```



(7)
Material: HoErAl
Method: DFT, PBE-GGA
State: optimized geometry

Output
- energy relative to the lowest polymorph listed for this composition (eV/f.u.) = 0.00

Structure (CIF):
```
data_HoErAl
_space_group_name_H-M_alt 'P n m a'
_space_group_IT_number 62
_space_group_name_Hall '-P 2ac 2n'
_cell_length_a 6.513
_cell_length_b 5.060
_cell_length_c 9.390
_cell_angle_alpha 90.00
_cell_angle_beta 90.00
_cell_angle_gamma 90.00
loop_
_atom_site_label
_atom_site_fract_x
_atom_site_fract_y
_atom_site_fract_z
Ho1 0.187 0.250 0.073
Er1 0.027 0.250 0.710
Al1 0.208 0.250 0.397
```



(8)
Material: HoEr2Al
Method: DFT, PBE-GGA
State: optimized geometry

Output
- energy relative to the lowest polymorph listed for this composition (eV/f.u.) = 0.46

Structure (CIF):
```
data_HoEr2Al
_space_group_name_H-M_alt 'A m m 2'
_space_group_IT_number 38
_space_group_name_Hall 'A 2 -2'
_cell_length_a 5.296
_cell_length_b 6.947
_cell_length_c 11.729
_cell_angle_alpha 90.00
_cell_angle_beta 90.00
_cell_angle_gamma 90.00
loop_
_atom_site_label
_atom_site_fract_x
_atom_site_fract_y
_atom_site_fract_z
Ho1 0.000 0.000 0.000
Ho2 0.500 0.000 0.301
Er1 0.000 0.000 0.480
Er2 0.000 0.241 0.728
Er3 0.500 0.000 0.823
Al1 0.500 0.212 0.574
```



(9)
Material: Ho2Er3Al3
Method: DFT, PBE-GGA
State: optimized geometry

Output
- energy relative to the lowest polymorph listed for this composition (eV/f.u.) = 1.44

Structure (CIF):
```
data_Ho2Er3Al3
_space_group_name_H-M_alt 'A m m 2'
_space_group_IT_number 38
_space_group_name_Hall 'A 2 -2'
_cell_length_a 5.287
_cell_length_b 6.744
_cell_length_c 11.303
_cell_angle_alpha 90.00
_cell_angle_beta 90.00
_cell_angle_gamma 90.00
loop_
_atom_site_label
_atom_site_fract_x
_atom_site_fract_y
_atom_site_fract_z
Ho1 0.000 0.000 0.000
Ho2 0.500 0.000 0.319
Er1 0.000 0.237 0.734
Er2 0.500 0.000 0.825
Al1 0.000 0.000 0.486
Al2 0.500 0.238 0.577
```



(10)
Material: Ho2Er3Al3
Method: DFT, PBE-GGA
State: optimized geometry

Output
- energy relative to the lowest polymorph listed for this composition (eV/f.u.) = 0.94

Structure (CIF):
```
data_Ho2Er3Al3
_space_group_name_H-M_alt 'P -6 m 2'
_space_group_IT_number 187
_space_group_name_Hall 'P -6 2'
_cell_length_a 6.8079
_cell_length_b 6.8079
_cell_length_c 5.1088
_cell_angle_alpha 90.00
_cell_angle_beta 90.00
_cell_angle_gamma 120.00
loop_
_atom_site_label
_atom_site_fract_x
_atom_site_fract_y
_atom_site_fract_z
Ho1 0.0000 0.0000 0.0000
Ho2 0.3333 0.6667 0.5000
Er1 0.5072 0.0143 0.0000
Al1 0.3762 0.1881 0.5000
```



(11)
Material: HoErAl
Method: DFT, PBE-GGA
State: optimized geometry

Output
- energy relative to the lowest polymorph listed for this composition (eV/f.u.) = 2.42

Structure (CIF):
```
data_HoErAl
_space_group_name_H-M_alt 'F -4 3 m'
_space_group_IT_number 216
_space_group_name_Hall 'F -4 2 3'
_cell_length_a 7.136
_cell_length_b 7.136
_cell_length_c 7.136
_cell_angle_alpha 90.00
_cell_angle_beta 90.00
_cell_angle_gamma 90.00
loop_
_atom_site_label
_atom_site_fract_x
_atom_site_fract_y
_atom_site_fract_z
Ho1 0.000 0.000 0.000
Er1 0.250 0.250 0.250
Al1 0.250 0.250 0.750
```



(12)
Material: HoErAl6
Method: DFT, PBE-GGA
State: optimized geometry

Output
- energy (eV/cell) = -34.96

Structure (CIF):
```
data_HoErAl6
_space_group_name_H-M_alt 'P -6 m 2'
_space_group_IT_number 187
_space_group_name_Hall 'P -6 2'
_cell_length_a 6.2370
_cell_length_b 6.2370
_cell_length_c 4.6060
_cell_angle_alpha 90.00
_cell_angle_beta 90.00
_cell_angle_gamma 120.00
loop_
_atom_site_label
_atom_site_fract_x
_atom_site_fract_y
_atom_site_fract_z
Ho1 0.0000 0.0000 0.0000
Er1 0.6667 0.3333 0.5000
Al1 0.0380 0.5190 0.0000
Al2 0.1855 0.3710 0.5000
```



(13)
Material: Ho2Er2Al
Method: DFT, PBE-GGA
State: optimized geometry

Output
- energy (eV/cell) = -44.38

Structure (CIF):
```
data_Ho2Er2Al
_space_group_name_H-M_alt 'I m m m'
_space_group_IT_number 71
_space_group_name_Hall '-I 2 2'
_cell_length_a 3.593
_cell_length_b 7.933
_cell_length_c 10.246
_cell_angle_alpha 90.00
_cell_angle_beta 90.00
_cell_angle_gamma 90.00
loop_
_atom_site_label
_atom_site_fract_x
_atom_site_fract_y
_atom_site_fract_z
Ho1 0.000 0.000 0.248
Er1 0.000 0.301 0.000
Al1 0.000 0.500 0.500
```



(14)
Material: Ho2ErMg3Al2In
Method: DFT, PBE-GGA
State: optimized geometry

Output
- energy (eV/cell) = -63.14

Structure (CIF):
```
data_Ho2ErMg3Al2In
_space_group_name_H-M_alt 'A m m 2'
_space_group_IT_number 38
_space_group_name_Hall 'A 2 -2'
_cell_length_a 4.585
_cell_length_b 12.734
_cell_length_c 7.365
_cell_angle_alpha 90.00
_cell_angle_beta 90.00
_cell_angle_gamma 90.00
loop_
_atom_site_label
_atom_site_fract_x
_atom_site_fract_y
_atom_site_fract_z
Ho1 0.000 0.219 0.000
Er1 0.000 0.000 0.343
Mg1 0.500 0.000 0.027
Mg2 0.500 0.123 0.658
Al1 0.500 0.166 0.281
In1 0.000 0.000 0.780
```



(15)
Material: HoErAlIr2
Method: DFT, PBE-GGA
State: optimized geometry

Output
- energy (eV/cell) = -70.82

Structure (CIF):
```
data_HoErAlIr2
_space_group_name_H-M_alt 'I m m 2'
_space_group_IT_number 44
_space_group_name_Hall 'I 2 -2'
_cell_length_a 4.085
_cell_length_b 5.823
_cell_length_c 8.444
_cell_angle_alpha 90.00
_cell_angle_beta 90.00
_cell_angle_gamma 90.00
loop_
_atom_site_label
_atom_site_fract_x
_atom_site_fract_y
_atom_site_fract_z
Ho1 0.000 0.000 0.000
Er1 0.000 0.000 0.396
Al1 0.000 0.500 0.198
Ir1 0.000 0.260 0.698
```



(16)
Material: Ho2ErAl3Si2Ir
Method: DFT, PBE-GGA
State: optimized geometry

Output
- energy (eV/cell) = -104.95

Structure (CIF):
```
data_Ho2ErAl3Si2Ir
_space_group_name_H-M_alt 'A m m 2'
_space_group_IT_number 38
_space_group_name_Hall 'A 2 -2'
_cell_length_a 4.207
_cell_length_b 11.904
_cell_length_c 6.878
_cell_angle_alpha 90.00
_cell_angle_beta 90.00
_cell_angle_gamma 90.00
loop_
_atom_site_label
_atom_site_fract_x
_atom_site_fract_y
_atom_site_fract_z
Ho1 0.000 0.208 0.000
Er1 0.000 0.000 0.376
Al1 0.500 0.000 0.026
Al2 0.500 0.117 0.675
Si1 0.500 0.166 0.292
Ir1 0.000 0.000 0.791
```



(17)
Material: Ho2ErMg4Al2
Method: DFT, PBE-GGA
State: optimized geometry

Output
- energy (eV/cell) = -58.70

Structure (CIF):
```
data_Ho2ErMg4Al2
_space_group_name_H-M_alt 'A m m 2'
_space_group_IT_number 38
_space_group_name_Hall 'A 2 -2'
_cell_length_a 4.549
_cell_length_b 12.886
_cell_length_c 7.455
_cell_angle_alpha 90.00
_cell_angle_beta 90.00
_cell_angle_gamma 90.00
loop_
_atom_site_label
_atom_site_fract_x
_atom_site_fract_y
_atom_site_fract_z
Ho1 0.000 0.218 0.000
Er1 0.000 0.000 0.656
Mg1 0.000 0.000 0.219
Mg2 0.500 0.000 0.969
Mg3 0.500 0.125 0.344
Al1 0.500 0.166 0.718
```



(18)
Material: HoEr2Mg4Al2
Method: DFT, PBE-GGA
State: optimized geometry

Output
- energy (eV/cell) = -58.62

Structure (CIF):
```
data_HoEr2Mg4Al2
_space_group_name_H-M_alt 'A m m 2'
_space_group_IT_number 38
_space_group_name_Hall 'A 2 -2'
_cell_length_a 4.545
_cell_length_b 12.900
_cell_length_c 7.433
_cell_angle_alpha 90.00
_cell_angle_beta 90.00
_cell_angle_gamma 90.00
loop_
_atom_site_label
_atom_site_fract_x
_atom_site_fract_y
_atom_site_fract_z
Ho1 0.000 0.000 0.000
Er1 0.000 0.219 0.656
Mg1 0.000 0.000 0.438
Mg2 0.500 0.000 0.687
Mg3 0.500 0.125 0.312
Al1 0.500 0.167 0.937
```



(19)
Material: HoErAlNi2
Method: DFT, PBE-GGA
State: optimized geometry

Output
- energy (eV/cell) = -53.76

Structure (CIF):
```
data_HoErAlNi2
_space_group_name_H-M_alt 'I m m 2'
_space_group_IT_number 44
_space_group_name_Hall 'I 2 -2'
_cell_length_a 4.154
_cell_length_b 5.358
_cell_length_c 8.255
_cell_angle_alpha 90.00
_cell_angle_beta 90.00
_cell_angle_gamma 90.00
loop_
_atom_site_label
_atom_site_fract_x
_atom_site_fract_y
_atom_site_fract_z
Ho1 0.000 0.000 0.000
Er1 0.000 0.000 0.408
Al1 0.000 0.500 0.204
Ni1 0.000 0.267 0.704
```



(20)
Material: HoErAl2Pd4
Method: DFT, PBE-GGA
State: optimized geometry

Output
- energy (eV/cell) = -44.98

Structure (CIF):
```
data_HoErAl2Pd4
_space_group_name_H-M_alt 'P -6 m 2'
_space_group_IT_number 187
_space_group_name_Hall 'P -6 2'
_cell_length_a 4.3554
_cell_length_b 4.3554
_cell_length_c 9.0686
_cell_angle_alpha 90.00
_cell_angle_beta 90.00
_cell_angle_gamma 120.00
loop_
_atom_site_label
_atom_site_fract_x
_atom_site_fract_y
_atom_site_fract_z
Ho1 0.0000 0.0000 0.0000
Er1 0.3333 0.6667 0.5000
Al1 0.6667 0.3333 0.2500
Pd1 0.0000 0.0000 0.3295
Pd2 0.3333 0.6667 0.1707
```



(21)
Material: HoErAl4Pd2
Method: DFT, PBE-GGA
State: optimized geometry

Output
- energy (eV/cell) = -81.70

Structure (CIF):
```
data_HoErAl4Pd2
_space_group_name_H-M_alt 'A m m 2'
_space_group_IT_number 38
_space_group_name_Hall 'A 2 -2'
_cell_length_a 6.935
_cell_length_b 4.301
_cell_length_c 10.114
_cell_angle_alpha 90.00
_cell_angle_beta 90.00
_cell_angle_gamma 90.00
loop_
_atom_site_label
_atom_site_fract_x
_atom_site_fract_y
_atom_site_fract_z
Ho1 0.000 0.000 0.000
Er1 0.500 0.000 0.146
Al1 0.198 0.000 0.713
Al2 0.303 0.000 0.432
Pd1 0.000 0.000 0.282
Pd2 0.500 0.000 0.863
```



(22)
Material: Ho2ErAl3Si2Pd
Method: DFT, PBE-GGA
State: optimized geometry

Output
- energy (eV/cell) = -96.34

Structure (CIF):
```
data_Ho2ErAl3Si2Pd
_space_group_name_H-M_alt 'A m m 2'
_space_group_IT_number 38
_space_group_name_Hall 'A 2 -2'
_cell_length_a 4.234
_cell_length_b 11.869
_cell_length_c 6.856
_cell_angle_alpha 90.00
_cell_angle_beta 90.00
_cell_angle_gamma 90.00
loop_
_atom_site_label
_atom_site_fract_x
_atom_site_fract_y
_atom_site_fract_z
Ho1 0.000 0.209 0.000
Er1 0.000 0.000 0.373
Al1 0.500 0.000 0.030
Al2 0.500 0.120 0.671
Si1 0.500 0.166 0.291
Pd1 0.000 0.000 0.790
```



(23)
Material: HoErAl2Pt4
Method: DFT, PBE-GGA
State: optimized geometry

Output
- energy (eV/cell) = -50.48

Structure (CIF):
```
data_HoErAl2Pt4
_space_group_name_H-M_alt 'P -6 m 2'
_space_group_IT_number 187
_space_group_name_Hall 'P -6 2'
_cell_length_a 4.3346
_cell_length_b 4.3346
_cell_length_c 9.1600
_cell_angle_alpha 90.00
_cell_angle_beta 90.00
_cell_angle_gamma 120.00
loop_
_atom_site_label
_atom_site_fract_x
_atom_site_fract_y
_atom_site_fract_z
Ho1 0.0000 0.0000 0.0000
Er1 0.6667 0.3333 0.5000
Al1 0.3333 0.6667 0.2503
Pt1 0.0000 0.0000 0.3358
Pt2 0.6667 0.3333 0.1659
```



(24)
Material: HoErAlSi2
Method: DFT, PBE-GGA
State: optimized geometry

Output
- energy (eV/cell) = -54.64

Structure (CIF):
```
data_HoErAlSi2
_space_group_name_H-M_alt 'I m m 2'
_space_group_IT_number 44
_space_group_name_Hall 'I 2 -2'
_cell_length_a 4.058
_cell_length_b 5.698
_cell_length_c 8.643
_cell_angle_alpha 90.00
_cell_angle_beta 90.00
_cell_angle_gamma 90.00
loop_
_atom_site_label
_atom_site_fract_x
_atom_site_fract_y
_atom_site_fract_z
Ho1 0.000 0.000 0.000
Er1 0.000 0.000 0.579
Al1 0.000 0.500 0.789
Si1 0.000 0.289 0.289
```



(25)
Material: SmHoEr2Al2
Method: DFT, PBE-GGA
State: optimized geometry

Output
- energy (eV/cell) = -27.53

Structure (CIF):
```
data_SmHoEr2Al2
_space_group_name_H-M_alt 'P -6 m 2'
_space_group_IT_number 187
_space_group_name_Hall 'P -6 2'
_cell_length_a 5.2250
_cell_length_b 5.2250
_cell_length_c 6.6390
_cell_angle_alpha 90.00
_cell_angle_beta 90.00
_cell_angle_gamma 120.00
loop_
_atom_site_label
_atom_site_fract_x
_atom_site_fract_y
_atom_site_fract_z
Sm1 0.0000 0.0000 0.0000
Ho1 0.3333 0.6667 0.5000
Er1 0.6667 0.3333 0.2536
Al1 0.0000 0.0000 0.5000
Al2 0.3333 0.6667 0.0000
```



It is found that the magnetic moment values, taken in the order of the records, are 0.00 0.00 0.00 0.03 0.02 0.01 0.01 0.01 0.01 0.03 0.00 0.00 0.15 0.00 0.00 0.00 0.01 0.00 0.01 0.01 0.03 0.00 0.00 0.00 0.05 μB/f.u..